Below is an optimized crystal structure of NdGa4CuPt2, with properties calculated at the GGA-PBE level.

Geometry as POSCAR:
```
NdGa4CuPt2
1.0
2.149 1.241 8.794
-2.149 1.241 8.794
0.000 -2.481 8.794
Nd Ga Cu Pt
1 4 1 2
direct
0.000 0.000 0.000
0.132 0.132 0.132
0.400 0.400 0.400
0.600 0.600 0.600
0.868 0.868 0.868
0.500 0.500 0.500
0.237 0.237 0.237
0.763 0.763 0.763
```

Values from the calculation:
**Formation enthalpy at 0 K**: -0.604 eV/atom
**Symmetry**: R-3m (166)